Cr3BPt: relaxed, GGA-PBE.

Its crystal system is cubic. The formation enthalpy at 0 K is 0.0574 eV/atom. The calculation puts the total DFT energy (no corrections) at -0.6071 Ry per atom. The energy above the most stable polymorph in this dataset comes out at 0.00 kcal/mol of atoms.

The space group is Pm-3m (No. 221) and the conventional cell measures 3.8937, 3.8937 and 3.8937 Å, with angles of 90.00, 90.00 and 90.00 degrees. The inequivalent atoms are Cr at (0.0000, 0.0000, 0.5000), B at (0.0000, 0.0000, 0.0000) and Pt at (0.5000, 0.5000, 0.5000).